The following is a DFT calculation (PBE-GGA) of a relaxed HoTaW crystal.

Unit cell a=5.219 b=5.219 c=5.925 alpha=106.12 beta=106.12 gamma=111.68
Atoms (fractional coordinates):
1 Ho 0.679 0.321 0.000
2 Ho 0.321 0.679 0.000
3 Ta 0.829 0.829 0.657
4 Ta 0.171 0.171 0.343
5 W 0.750 0.250 0.500
6 W 0.250 0.750 0.500

Summary:
- Electronic total energy: -0.3466 Ha/atom
- D(E_F): 1.0933 states/eV/atom
- Total magnetization: 0.000 μB per formula unit
- Space-group type: Fmmm (69)